(1)
Compound: ZrUBi2
Source: Alexandria
Functional: PBE
Structure: relaxed

## Properties
- E above lowest polymorph: 0.0 meV per atom
- Energy relative to the elements: -0.035 eV/atom

Cell: 4.2939 4.2939 22.0715 Å, 90.00 90.00 120.00°
Space group R-3m (No. 166, hexagonal axes)
One atom of each set of equivalent atoms:
Zr 0.0000 0.0000 0.0000 [3 per cell]
U 0.0000 0.0000 0.5000 [3 per cell]
Bi 0.0000 0.0000 0.2555 [6 per cell]

(2)
Compound: Y2InNi2
Source: Alexandria
Functional: PBE
Structure: relaxed

## Properties
- Energy relative to the elements: -0.148 eV/atom

Cell: 3.3460 19.4936 3.2972 Å, 90.00 90.00 90.00°
Space group Cmmm (No. 65)
One atom of each set of equivalent atoms:
Y 0.0000 0.1612 0.0000 [4 per cell]
In 0.0000 0.0000 0.0000 [2 per cell]
Ni 0.0000 0.4251 0.5000 [4 per cell]